# 1
# ScHg8, optimized geometry, DFT PBEsol
# **V**: 196.81 Å³/f.u.
# **ΔH_f (0 K)**: -0.14 eV per atom
# **SG**: I4/mmm (139)
data_ScHg8
_chemical_formula_sum 'Sc1 Hg8'
_cell_length_a 7.1211
_cell_length_b 7.1211
_cell_length_c 7.1211
_cell_angle_alpha 95.14
_cell_angle_beta 95.14
_cell_angle_gamma 145.17
_space_group_name_H-M_alt 'P 1'
_space_group_IT_number 1
loop_
_space_group_symop_operation_xyz
'x,y,z'
loop_
_atom_site_label
_atom_site_fract_x
_atom_site_fract_y
_atom_site_fract_z
Sc1 0.0000 0.0000 0.0000
Hg1 0.0000 0.3315 0.3315
Hg2 0.0000 0.6685 0.6685
Hg3 0.3315 0.0000 0.3315
Hg4 0.3359 0.3359 0.6719
Hg5 0.3359 0.6641 0.0000
Hg6 0.6641 0.3359 0.0000
Hg7 0.6641 0.6641 0.3281
Hg8 0.6685 0.0000 0.6685


# 2
# LaCdPt3, optimized geometry, DFT PBEsol
# **Energy above the most stable polymorph in this dataset**: 0.754 eV/atom
# **V**: 134.31 Å³/f.u.
# **ΔH_f (0 K)**: 1.00 eV per atom
# **SG**: Pm-3m (221)
data_LaCdPt3
_chemical_formula_sum 'La1 Cd1 Pt3'
_cell_length_a 5.1212
_cell_length_b 5.1212
_cell_length_c 5.1212
_cell_angle_alpha 90.00
_cell_angle_beta 90.00
_cell_angle_gamma 90.00
_space_group_name_H-M_alt 'P 1'
_space_group_IT_number 1
loop_
_space_group_symop_operation_xyz
'x,y,z'
loop_
_atom_site_label
_atom_site_fract_x
_atom_site_fract_y
_atom_site_fract_z
La1 0.0000 0.0000 0.0000
Cd1 0.5000 0.5000 0.5000
Pt1 0.0000 0.0000 0.5000
Pt2 0.0000 0.5000 0.0000
Pt3 0.5000 0.0000 0.0000


# 3
# MnSe2NO, optimized geometry, DFT PBEsol
# **V**: 71.43 Å³/f.u.
# **SG**: P4/mmm (123)
# **ΔE_f (raw)**: 584.0 meV/atom
data_MnSe2NO
_chemical_formula_sum 'Mn1 Se2 N1 O1'
_cell_length_a 4.6143
_cell_length_b 4.6143
_cell_length_c 3.3549
_cell_angle_alpha 90.00
_cell_angle_beta 90.00
_cell_angle_gamma 90.00
_space_group_name_H-M_alt 'P 1'
_space_group_IT_number 1
loop_
_space_group_symop_operation_xyz
'x,y,z'
loop_
_atom_site_label
_atom_site_fract_x
_atom_site_fract_y
_atom_site_fract_z
Mn1 0.0000 0.0000 0.0000
Se1 0.0000 0.5000 0.0000
Se2 0.5000 0.0000 0.0000
N1 0.0000 0.0000 0.5000
O1 0.5000 0.5000 0.5000


# 4
# Na4Sb2C4SO16, optimized geometry, DFT PBEsol
# **Energy above the most stable polymorph in this dataset**: 0.008 eV/atom
# **V**: 370.49 Å³/f.u.
# **SG**: F222 (22)
# **ΔE_f (raw)**: -1480.1 meV/atom
data_Na4Sb2C4SO16
_chemical_formula_sum 'Na8 Sb4 C8 S2 O32'
_cell_length_a 10.2619
_cell_length_b 10.1509
_cell_length_c 10.0653
_cell_angle_alpha 61.01
_cell_angle_beta 59.91
_cell_angle_gamma 59.08
_space_group_name_H-M_alt 'P 1'
_space_group_IT_number 1
loop_
_space_group_symop_operation_xyz
'x,y,z'
loop_
_atom_site_label
_atom_site_fract_x
_atom_site_fract_y
_atom_site_fract_z
Na1 0.0532 0.4468 0.4468
Na2 0.2037 0.2037 0.7963
Na3 0.2066 0.7934 0.2066
Na4 0.2069 0.7931 0.7931
Na5 0.4468 0.0532 0.0532
Na6 0.7931 0.2069 0.2069
Na7 0.7934 0.2066 0.7934
Na8 0.7963 0.7963 0.2037
Sb1 0.1152 0.6260 0.6365
Sb2 0.6223 0.6365 0.6260
Sb3 0.6260 0.1152 0.6223
Sb4 0.6365 0.6223 0.1152
C1 0.4013 0.4103 0.7689
C2 0.4103 0.4013 0.4196
C3 0.4196 0.7689 0.4103
C4 0.4433 0.8834 0.8272
C5 0.7689 0.4196 0.4013
C6 0.8272 0.8460 0.4433
C7 0.8460 0.8272 0.8834
C8 0.8834 0.4433 0.8460
S1 0.0000 0.0000 0.0000
S2 0.2500 0.2500 0.2500
O1 0.0066 0.4602 0.8385
O2 0.0573 0.0608 0.0616
O3 0.0608 0.0573 0.8203
O4 0.0616 0.8203 0.0573
O5 0.1869 0.4305 0.1940
O6 0.1886 0.1940 0.4305
O7 0.1940 0.1886 0.1869
O8 0.2701 0.5402 0.7577
O9 0.2756 0.4073 0.5391
O10 0.2895 0.7704 0.4223
O11 0.4073 0.2756 0.7780
O12 0.4223 0.5178 0.2895
O13 0.4236 0.8871 0.9605
O14 0.4305 0.1869 0.1886
O15 0.4321 0.7577 0.5402
O16 0.4449 0.7602 0.8156
O17 0.4602 0.0066 0.6947
O18 0.5178 0.4223 0.7704
O19 0.5391 0.7780 0.2756
O20 0.5402 0.2701 0.4321
O21 0.6947 0.8385 0.4602
O22 0.7289 0.9605 0.8871
O23 0.7577 0.4321 0.2701
O24 0.7602 0.4449 0.9792
O25 0.7704 0.2895 0.5178
O26 0.7780 0.5391 0.4073
O27 0.8156 0.9792 0.4449
O28 0.8203 0.0616 0.0608
O29 0.8385 0.6947 0.0066
O30 0.8871 0.4236 0.7289
O31 0.9605 0.7289 0.4236
O32 0.9792 0.8156 0.7602


# 5
# Ce4Re6O19, optimized geometry, DFT PBEsol
# **V**: 357.59 Å³/f.u.
# **SG**: I23 (197)
# **ΔE_f (raw)**: -2168.9 meV/atom
data_Ce4Re6O19
_chemical_formula_sum 'Ce4 Re6 O19'
_cell_length_a 7.7447
_cell_length_b 7.7447
_cell_length_c 7.7447
_cell_angle_alpha 109.47
_cell_angle_beta 109.47
_cell_angle_gamma 109.47
_space_group_name_H-M_alt 'P 1'
_space_group_IT_number 1
loop_
_space_group_symop_operation_xyz
'x,y,z'
loop_
_atom_site_label
_atom_site_fract_x
_atom_site_fract_y
_atom_site_fract_z
Ce1 0.0000 0.0000 0.6899
Ce2 0.0000 0.6899 0.0000
Ce3 0.3101 0.3101 0.3101
Ce4 0.6899 0.0000 0.0000
Re1 0.1340 0.6340 0.5000
Re2 0.3660 0.5000 0.8660
Re3 0.5000 0.1340 0.6340
Re4 0.5000 0.8660 0.3660
Re5 0.6340 0.5000 0.1340
Re6 0.8660 0.3660 0.5000
O1 0.0000 0.0000 0.0000
O2 0.0000 0.3156 0.3156
O3 0.0000 0.6844 0.6844
O4 0.0545 0.3471 0.7301
O5 0.2699 0.6169 0.3244
O6 0.2925 0.9455 0.6756
O7 0.3156 0.0000 0.3156
O8 0.3156 0.3156 0.0000
O9 0.3244 0.2699 0.6169
O10 0.3471 0.7301 0.0545
O11 0.3831 0.6529 0.7075
O12 0.6169 0.3244 0.2699
O13 0.6529 0.7075 0.3831
O14 0.6756 0.2925 0.9455
O15 0.6844 0.0000 0.6844
O16 0.6844 0.6844 0.0000
O17 0.7075 0.3831 0.6529
O18 0.7301 0.0545 0.3471
O19 0.9455 0.6756 0.2925


# 6
# SrIrRu2, optimized geometry, DFT PBEsol
# **Energy above the most stable polymorph in this dataset**: 0.010 eV/atom
# **V**: 67.39 Å³/f.u.
# **ΔH_f (0 K)**: 0.55 eV per atom
# **SG**: P4/mmm (123)
data_SrIrRu2
_chemical_formula_sum 'Sr1 Ir1 Ru2'
_cell_length_a 2.8240
_cell_length_b 2.8240
_cell_length_c 8.4498
_cell_angle_alpha 90.00
_cell_angle_beta 90.00
_cell_angle_gamma 90.00
_space_group_name_H-M_alt 'P 1'
_space_group_IT_number 1
loop_
_space_group_symop_operation_xyz
'x,y,z'
loop_
_atom_site_label
_atom_site_fract_x
_atom_site_fract_y
_atom_site_fract_z
Sr1 0.0000 0.0000 0.0000
Ir1 0.0000 0.0000 0.5000
Ru1 0.5000 0.5000 0.2959
Ru2 0.5000 0.5000 0.7041


# 7
# CrMo2, optimized geometry, DFT PBEsol
# **Energy above the most stable polymorph in this dataset**: 0.004 eV/atom
# **V**: 41.91 Å³/f.u.
# **ΔH_f (0 K)**: 0.08 eV per atom
# **SG**: I4/mmm (139)
data_CrMo2
_chemical_formula_sum 'Cr1 Mo2'
_cell_length_a 5.0237
_cell_length_b 5.0237
_cell_length_c 5.0237
_cell_angle_alpha 144.80
_cell_angle_beta 144.80
_cell_angle_gamma 50.63
_space_group_name_H-M_alt 'P 1'
_space_group_IT_number 1
loop_
_space_group_symop_operation_xyz
'x,y,z'
loop_
_atom_site_label
_atom_site_fract_x
_atom_site_fract_y
_atom_site_fract_z
Cr1 0.0000 0.0000 0.0000
Mo1 0.3377 0.3377 0.0000
Mo2 0.6623 0.6623 0.0000


# 8
# Li24Ir5, optimized geometry, DFT PBEsol
# **V**: 412.38 Å³/f.u.
# **ΔH_f (0 K)**: 0.03 eV per atom
# **SG**: I-43m (217)
data_Li24Ir5
_chemical_formula_sum 'Li24 Ir5'
_cell_length_a 8.1216
_cell_length_b 8.1216
_cell_length_c 8.1216
_cell_angle_alpha 109.47
_cell_angle_beta 109.47
_cell_angle_gamma 109.47
_space_group_name_H-M_alt 'P 1'
_space_group_IT_number 1
loop_
_space_group_symop_operation_xyz
'x,y,z'
loop_
_atom_site_label
_atom_site_fract_x
_atom_site_fract_y
_atom_site_fract_z
Li1 0.0000 0.1852 0.3614
Li2 0.0000 0.3614 0.1852
Li3 0.0000 0.4150 0.7137
Li4 0.0000 0.7137 0.4150
Li5 0.1763 0.8148 0.8148
Li6 0.1852 0.0000 0.3614
Li7 0.1852 0.3614 0.0000
Li8 0.2863 0.2863 0.7013
Li9 0.2863 0.7013 0.2863
Li10 0.2987 0.5850 0.5850
Li11 0.3614 0.0000 0.1852
Li12 0.3614 0.1852 0.0000
Li13 0.4150 0.0000 0.7137
Li14 0.4150 0.7137 0.0000
Li15 0.5850 0.2987 0.5850
Li16 0.5850 0.5850 0.2987
Li17 0.6386 0.6386 0.8237
Li18 0.6386 0.8237 0.6386
Li19 0.7013 0.2863 0.2863
Li20 0.7137 0.0000 0.4150
Li21 0.7137 0.4150 0.0000
Li22 0.8148 0.1763 0.8148
Li23 0.8148 0.8148 0.1763
Li24 0.8237 0.6386 0.6386
Ir1 0.0000 0.0000 0.0000
Ir2 0.0000 0.0000 0.6730
Ir3 0.0000 0.6730 0.0000
Ir4 0.3270 0.3270 0.3270
Ir5 0.6730 0.0000 0.0000


# 9
# ZrScSi2, optimized geometry, DFT PBEsol
# **Energy above the most stable polymorph in this dataset**: 0.607 eV/atom
# **V**: 71.62 Å³/f.u.
# **SG**: Cmm2 (35)
# **ΔE_f (raw)**: -346.7 meV/atom
data_ZrScSi2
_chemical_formula_sum 'Zr1 Sc1 Si2'
_cell_length_a 3.2008
_cell_length_b 3.2008
_cell_length_c 6.9960
_cell_angle_alpha 90.00
_cell_angle_beta 90.00
_cell_angle_gamma 92.13
_space_group_name_H-M_alt 'P 1'
_space_group_IT_number 1
loop_
_space_group_symop_operation_xyz
'x,y,z'
loop_
_atom_site_label
_atom_site_fract_x
_atom_site_fract_y
_atom_site_fract_z
Zr1 0.0000 0.0000 0.0000
Sc1 0.5000 0.5000 0.6495
Si1 0.0000 0.0000 0.4018
Si2 0.5000 0.5000 0.2413


# 10
# Na3H6Ir, optimized geometry, DFT PBEsol
# **V**: 111.95 Å³/f.u.
# **SG**: Pnma (62)
# **Final energy**: -150.42 eV for the cell shown
data_Na3H6Ir
_chemical_formula_sum 'Na12 H24 Ir4'
_cell_length_a 9.1688
_cell_length_b 5.1433
_cell_length_c 9.4960
_cell_angle_alpha 90.00
_cell_angle_beta 90.00
_cell_angle_gamma 90.00
_space_group_name_H-M_alt 'P 1'
_space_group_IT_number 1
loop_
_space_group_symop_operation_xyz
'x,y,z'
loop_
_atom_site_label
_atom_site_fract_x
_atom_site_fract_y
_atom_site_fract_z
Na1 0.0453 0.2500 0.1281
Na2 0.1052 0.7500 0.5346
Na3 0.2195 0.2500 0.7491
Na4 0.2805 0.7500 0.2491
Na5 0.3948 0.2500 0.0346
Na6 0.4547 0.7500 0.6281
Na7 0.5453 0.2500 0.3719
Na8 0.6052 0.7500 0.9654
Na9 0.7195 0.2500 0.7509
Na10 0.7805 0.7500 0.2509
Na11 0.8948 0.2500 0.4654
Na12 0.9547 0.7500 0.8719
H1 0.1052 0.0268 0.3382
H2 0.1052 0.4732 0.3382
H3 0.1217 0.2500 0.5479
H4 0.1684 0.5180 0.9660
H5 0.1684 0.9820 0.9660
H6 0.1856 0.7500 0.7508
H7 0.3144 0.2500 0.2508
H8 0.3316 0.0180 0.4660
H9 0.3316 0.4820 0.4660
H10 0.3783 0.7500 0.0479
H11 0.3948 0.5268 0.8382
H12 0.3948 0.9732 0.8382
H13 0.6052 0.0268 0.1618
H14 0.6052 0.4732 0.1618
H15 0.6217 0.2500 0.9521
H16 0.6684 0.5180 0.5340
H17 0.6684 0.9820 0.5340
H18 0.6856 0.7500 0.7492
H19 0.8144 0.2500 0.2492
H20 0.8316 0.0180 0.0340
H21 0.8316 0.4820 0.0340
H22 0.8783 0.7500 0.4521
H23 0.8948 0.5268 0.6618
H24 0.8948 0.9732 0.6618
Ir1 0.2207 0.2500 0.4014
Ir2 0.2793 0.7500 0.9014
Ir3 0.7207 0.2500 0.0986
Ir4 0.7793 0.7500 0.5986


# 11
# CrW, optimized geometry, DFT PBEsol
# **V**: 27.06 Å³/f.u.
# **ΔH_f (0 K)**: 0.09 eV per atom
# **SG**: Cm (8)
data_CrW
_chemical_formula_sum 'Cr3 W3'
_cell_length_a 4.9644
_cell_length_b 4.9644
_cell_length_c 6.0115
_cell_angle_alpha 107.57
_cell_angle_beta 107.57
_cell_angle_gamma 35.30
_space_group_name_H-M_alt 'P 1'
_space_group_IT_number 1
loop_
_space_group_symop_operation_xyz
'x,y,z'
loop_
_atom_site_label
_atom_site_fract_x
_atom_site_fract_y
_atom_site_fract_z
Cr1 0.0000 0.0000 0.0000
Cr2 0.9997 0.9997 0.4886
Cr3 0.6606 0.6606 0.3235
W1 0.3323 0.3323 0.6537
W2 0.3355 0.3355 0.1672
W3 0.6581 0.6581 0.8244


# 12
# Y2SbOs, optimized geometry, DFT PBEsol
# **V**: 93.83 Å³/f.u.
# **SG**: R-3m (166)
# **ΔE_f (raw)**: -176.1 meV/atom
data_Y2SbOs
_chemical_formula_sum 'Y2 Sb1 Os1'
_cell_length_a 9.1443
_cell_length_b 9.1443
_cell_length_c 9.1443
_cell_angle_alpha 21.97
_cell_angle_beta 21.97
_cell_angle_gamma 21.97
_space_group_name_H-M_alt 'P 1'
_space_group_IT_number 1
loop_
_space_group_symop_operation_xyz
'x,y,z'
loop_
_atom_site_label
_atom_site_fract_x
_atom_site_fract_y
_atom_site_fract_z
Y1 0.2399 0.2399 0.2399
Y2 0.7601 0.7601 0.7601
Sb1 0.0000 0.0000 0.0000
Os1 0.5000 0.5000 0.5000


Number 8 is which compound?
Li24Ir5


Look up the V of the third one.
71.43 Å³/f.u.


Which of these has the highest V?
Li24Ir5